[1]
Below is a relaxed structure of ZrSb2Au, with properties calculated at the PBE level.

a = 5.565 Å, b = 5.565 Å, c = 5.565 Å
α = 136.93°, β = 129.02°, γ = 68.89°
Fractional coordinates of all 4 atoms:
Au 0.250 0.750 0.500
Sb 0.005 0.005 0.000
Sb 0.495 0.495 0.000
Zr 0.750 0.250 0.500

For the raw formation energy, the calculation gives -243.2 meV/atom. Its total moment is 0.00 μB per formula unit. As for the space group: Immm.

[2]
Below is a relaxed structure of TaIn3Fe, with properties calculated at the PBE level.

a = 5.377 Å, b = 5.377 Å, c = 5.377 Å
α = 90.00°, β = 90.00°, γ = 90.00°
Last column: magnetic moment on the atom in μB.
Fractional coordinates of all 5 atoms:
In 0.000 0.500 0.000  0.02
In 0.000 0.000 0.500  0.01
In 0.500 0.000 0.000  0.01
Fe 0.500 0.500 0.500  3.29
Ta 0.000 0.000 0.000  0.16

For the energy above the lowest structure with this stoichiometry, the calculation gives 246 meV per atom. Its total moment is 3.81 μB per formula unit. As for the space group: Pm-3m.

[3]
Below is a relaxed structure of CeNdSc2, with properties calculated at the PBE level.

a = 3.425 Å, b = 3.425 Å, c = 11.078 Å
α = 81.11°, β = 81.11°, γ = 60.00°
Last column: magnetic moment on the atom in μB.
Fractional coordinates of all 4 atoms:
Sc 0.747 0.747 0.758  0.00
Sc 0.253 0.253 0.242  0.00
Nd 0.500 0.500 0.500  0.00
Ce 0.000 0.000 0.000  0.21

For the energy above the lowest structure with this stoichiometry, the calculation gives 4 meV per atom. Its total moment is 0.26 μB per formula unit. As for the space group: R-3m.

[4]
Below is a relaxed structure of PmHfMgIn, with properties calculated at the PBE level.

a = 5.177 Å, b = 5.177 Å, c = 5.177 Å
α = 60.00°, β = 60.00°, γ = 60.00°
Fractional coordinates of all 4 atoms:
Mg 0.750 0.750 0.750
In 0.250 0.250 0.250
Hf 0.500 0.500 0.500
Pm 0.000 0.000 0.000

The value obtained for the total energy is -19.357 eV per formula unit. Its total moment is 0.00 μB per formula unit. As for the space group: F-43m.

[5]
Below is a relaxed structure of CrPdPt, with properties calculated at the PBE level.

a = 2.798 Å, b = 3.745 Å, c = 4.790 Å
α = 113.01°, β = 106.99°, γ = 90.00°
Last column: magnetic moment on the atom in μB.
Fractional coordinates of all 3 atoms:
Cr 0.670 0.670 0.339  2.16
Pd 0.004 0.004 0.008  -0.03
Pt 0.326 0.326 0.653  -0.09

For the energy above the lowest structure with this stoichiometry, the calculation gives 0 meV per atom. Its total moment is 2.17 μB per formula unit. As for the space group: Imm2.

[6]
Below is a relaxed structure of Be2HSe, with properties calculated at the PBE level.

a = 3.971 Å, b = 3.971 Å, c = 3.971 Å
α = 60.00°, β = 60.00°, γ = 60.00°
Fractional coordinates of all 4 atoms:
Be 0.250 0.250 0.250
Be 0.750 0.750 0.750
Se 0.500 0.500 0.500
H 0.000 0.000 0.000

For the energy above the lowest structure with this stoichiometry, the calculation gives 940 meV per atom. Its total moment is 0.00 μB per formula unit. As for the space group: Fm-3m.

[7]
Below is a relaxed structure of SrS2F, with properties calculated at the PBE level.

a = 8.925 Å, b = 8.925 Å, c = 8.925 Å
α = 21.90°, β = 21.90°, γ = 21.90°
Fractional coordinates of all 4 atoms:
Sr 0.000 0.000 0.000
S 0.898 0.898 0.898
S 0.102 0.102 0.102
F 0.500 0.500 0.500

For the energy above the lowest structure with this stoichiometry, the calculation gives 2174 meV per atom. For the raw formation energy, the calculation gives 554.8 meV/atom. Its total moment is 0.00 μB per formula unit. As for the space group: R-3m.

[8]
Below is a relaxed structure of BePd, with properties calculated at the PBE level.

a = 4.627 Å, b = 4.627 Å, c = 4.627 Å
α = 90.00°, β = 90.00°, γ = 90.00°
Fractional coordinates of all 8 atoms:
Be 0.000 0.000 0.000
Be 0.000 0.500 0.500
Be 0.500 0.000 0.500
Be 0.500 0.500 0.000
Pd 0.500 0.500 0.500
Pd 0.500 0.000 0.000
Pd 0.000 0.500 0.000
Pd 0.000 0.000 0.500

The value obtained for the total energy is -9.378 eV per formula unit. Its total moment is 0.00 μB per formula unit. As for the space group: Fm-3m.

[9]
Below is a relaxed structure of Nd8Ag2Rh, with properties calculated at the PBE level.

a = 5.245 Å, b = 7.051 Å, c = 9.409 Å
α = 100.45°, β = 106.18°, γ = 90.00°
Fractional coordinates of all 11 atoms:
Nd 0.411 0.555 0.823
Nd 0.656 0.971 0.311
Nd 0.798 0.676 0.596
Nd 0.975 0.220 0.951
Nd 0.202 0.324 0.404
Nd 0.344 0.029 0.689
Nd 0.589 0.445 0.177
Nd 0.025 0.780 0.049
Ag 0.808 0.258 0.617
Ag 0.192 0.742 0.383
Rh 0.500 0.000 0.000

For the energy above the lowest structure with this stoichiometry, the calculation gives 0 meV per atom. Its total moment is 0.00 μB per formula unit. As for the space group: C2/m.

[10]
Below is a relaxed structure of HfCu2Rh2, with properties calculated at the PBE level.

a = 6.809 Å, b = 6.809 Å, c = 3.178 Å
α = 90.00°, β = 90.00°, γ = 90.00°
Fractional coordinates of all 10 atoms:
Rh 0.171 0.671 0.500
Rh 0.671 0.829 0.500
Rh 0.829 0.329 0.500
Rh 0.329 0.171 0.500
Hf 0.000 0.000 0.000
Hf 0.500 0.500 0.000
Cu 0.374 0.874 0.000
Cu 0.874 0.626 0.000
Cu 0.626 0.126 0.000
Cu 0.126 0.374 0.000

For the energy above the lowest structure with this stoichiometry, the calculation gives 20 meV per atom. Its total moment is 0.00 μB per formula unit. As for the space group: P4/mbm.

[11]
Below is a relaxed structure of Sb6PtRh, with properties calculated at the PBE level.

a = 8.207 Å, b = 8.207 Å, c = 8.196 Å
α = 109.46°, β = 109.49°, γ = 109.52°
Fractional coordinates of all 16 atoms:
Sb 0.156 0.662 0.818
Sb 0.844 0.338 0.182
Sb 0.847 0.654 0.501
Sb 0.153 0.346 0.499
Sb 0.812 0.158 0.661
Sb 0.188 0.842 0.339
Sb 0.503 0.849 0.661
Sb 0.497 0.151 0.339
Sb 0.655 0.813 0.151
Sb 0.345 0.187 0.849
Sb 0.662 0.504 0.849
Sb 0.338 0.496 0.151
Pt 0.000 0.000 0.500
Pt 0.500 0.500 0.500
Rh 0.000 0.500 0.000
Rh 0.500 0.000 0.000

For the raw formation energy, the calculation gives -352.3 meV/atom. Its total moment is 0.00 μB per formula unit. As for the space group: C2/m.

[12]
Below is a relaxed structure of ZrMnHg2, with properties calculated at the PBE level.

a = 3.989 Å, b = 3.989 Å, c = 10.679 Å
α = 79.23°, β = 79.23°, γ = 90.00°
Fractional coordinates of all 8 atoms:
Mn 0.500 0.500 0.000
Mn 0.250 0.750 0.500
Hg 0.612 0.125 0.250
Hg 0.138 0.625 0.250
Hg 0.375 0.388 0.750
Hg 0.875 0.862 0.750
Zr 0.000 0.000 0.000
Zr 0.750 0.250 0.500

The value obtained for the total energy is -15.912 eV per formula unit. Its total moment is 0.00 μB per formula unit. As for the space group: I-42d.